(1)
Computed, not measured: an optimized crystal structure of AgPt2SeO at the PBE level of DFT.

As for the density of states at the Fermi level: 4.98 states/eV/f.u.

It has space group P4/mmm (No. 123), with a = 5.050 Å, b = 5.050 Å, c = 3.758 Å, α = 90.00°, β = 90.00° and γ = 90.00°. The inequivalent atoms are Ag at (0.000, 0.000, 0.000), Pt at (0.000, 0.500, 0.000), Se at (0.500, 0.500, 0.500) and O at (0.000, 0.000, 0.500).

(2)
Computed, not measured: an optimized crystal structure of SiAgPtO6 at the PBE level of DFT.

As for the density of states at the Fermi level: 7.83 states/eV/f.u.

It has space group P-31c (No. 163), with a = 5.0173 Å, b = 5.0173 Å, c = 9.2390 Å, α = 90.00°, β = 90.00° and γ = 120.00°. The inequivalent atoms are Si at (0.3333, 0.6667, 0.2500), Ag at (0.0000, 0.0000, 0.0000), Pt at (0.3333, 0.6667, 0.7500) and O at (0.0264, 0.3846, 0.1394).

(3)
Computed, not measured: an optimized crystal structure of SiAg2PtO4 at the PBE level of DFT.

As for the density of states at the Fermi level: 0.18 states/eV/f.u.

It has space group Immm (No. 71), with a = 5.804 Å, b = 6.008 Å, c = 6.646 Å, α = 90.00°, β = 90.00° and γ = 90.00°. The inequivalent atoms are Si at (0.000, 0.000, 0.000), Ag at (0.240, 0.000, 0.500), Pt at (0.000, 0.500, 0.500) and O at (0.214, 0.000, 0.176).

(4)
Computed, not measured: an optimized crystal structure of SmAgPtO4 at the PBE level of DFT.

It has space group Imma (No. 74), with a = 6.439 Å, b = 7.221 Å, c = 9.110 Å, α = 90.00°, β = 90.00° and γ = 90.00°. The inequivalent atoms are Sm at (0.000, 0.000, 0.000), Ag at (0.000, 0.250, 0.368), Pt at (0.250, 0.250, 0.750), O at (0.000, 0.066, 0.744) and O at (0.224, 0.250, 0.977).

(5)
Computed, not measured: an optimized crystal structure of Sm3Ag3PtO8 at the PBE level of DFT.

It has space group C2/m (No. 12), with a = 11.993 Å, b = 6.979 Å, c = 6.950 Å, α = 90.00°, β = 124.96° and γ = 90.00°. The inequivalent atoms are Sm at (0.000, 0.000, 0.000), Sm at (0.250, 0.250, 0.500), Ag at (0.000, 0.500, 0.500), Ag at (0.250, 0.250, 0.000), Pt at (0.000, 0.500, 0.000), O at (0.009, 0.278, 0.212), O at (0.213, 0.500, 0.231) and O at (0.230, 0.000, 0.271).

(6)
Computed, not measured: an optimized crystal structure of Sm2AgPtO5 at the PBE level of DFT.

As for the density of states at the Fermi level: 6.05 states/eV/f.u.

It has space group P4/mbm (No. 127), with a = 6.755 Å, b = 6.755 Å, c = 5.788 Å, α = 90.00°, β = 90.00° and γ = 90.00°. The inequivalent atoms are Sm at (0.176, 0.324, 0.000), Ag at (0.000, 0.000, 0.500), Pt at (0.000, 0.500, 0.500), O at (0.000, 0.000, 0.000) and O at (0.135, 0.635, 0.242).

(7)
Computed, not measured: an optimized crystal structure of AgSnPt2O at the PBE level of DFT.

As for the density of states at the Fermi level: 3.87 states/eV/f.u.

It has space group P4/mmm (No. 123), with a = 4.943 Å, b = 4.943 Å, c = 5.257 Å, α = 90.00°, β = 90.00° and γ = 90.00°. The inequivalent atoms are Ag at (0.000, 0.000, 0.000), Sn at (0.000, 0.000, 0.500), Pt at (0.000, 0.500, 0.500) and O at (0.500, 0.500, 0.000).

(8)
Computed, not measured: an optimized crystal structure of SrAgPt2O at the PBE level of DFT.

As for the density of states at the Fermi level: 3.46 states/eV/f.u.

It has space group P4/mmm (No. 123), with a = 5.132 Å, b = 5.132 Å, c = 4.070 Å, α = 90.00°, β = 90.00° and γ = 90.00°. The inequivalent atoms are Sr at (0.000, 0.000, 0.000), Ag at (0.500, 0.500, 0.500), Pt at (0.000, 0.500, 0.500) and O at (0.500, 0.500, 0.000).

The following energy relative to the elements, uncorrected values (in kJ/mol of formula units) correspond, in order, to the records above: 507, -807, -657, -927, -2439, -1665, 665, 99.
The following total DFT energy (no corrections) values (in eV/cell) correspond, in order, to the records above: -18.12, -104.85, -87.62, -172.22, -187.39, -120.75, -17.00, -20.55.